Record 1
# BeAg4

A relaxed structure of BeAg4 (PBE, Alexandria via LeMat-Bulk).

abc: 2.8611 2.8611 11.8628
angles: 90.00 90.00 120.00
Space group P-3m1 (No. 164)
Symmetry-distinct sites (fractional):
Be: 0.0000 0.0000 0.0000
Ag: 0.3333 0.6667 0.6048
Ag: 0.3333 0.6667 0.8417

Summary:
VASP energy: -2.81 eV/atom
calculated formation energy: 103 kJ/mol of formula units
ΔE to the lowest computed polymorph: 0.1088 eV/atom
V: 84.1 Å³ per cell

Record 2
# La2Zn2InRh5

A relaxed structure of La2Zn2InRh5 (PBE, Alexandria via LeMat-Bulk).

abc: 9.907 9.907 3.718
angles: 90.00 90.00 90.00
Space group P4/mbm (No. 127)
Symmetry-distinct sites (fractional):
La: 0.176 0.324 0.000
Zn: 0.121 0.621 0.000
In: 0.000 0.000 0.000
Rh: 0.000 0.500 0.500
Rh: 0.067 0.791 0.500

Summary:
VASP energy: -5.76 eV/atom
calculated formation energy: -550 kJ/mol of formula units
V: 364.9 Å³ per cell

Record 3
# HfPbO3

A relaxed structure of HfPbO3 (PBE, Alexandria via LeMat-Bulk).

abc: 3.6884 3.6884 13.6781
angles: 90.00 90.00 120.00
Space group P6_3/mmc (No. 194)
Symmetry-distinct sites (fractional):
Hf: 0.3333 0.6667 0.2500
Pb: 0.0000 0.0000 0.0000
O: 0.0000 0.0000 0.2500
O: 0.3333 0.6667 0.1046

Summary:
VASP energy: -7.98 eV/atom
formation energy (no corrections): -2277.1 meV/atom
V: 161.1 Å³ per cell

Please write out number 2 again, unchanged.
# La2Zn2InRh5

A relaxed structure of La2Zn2InRh5 (PBE, Alexandria via LeMat-Bulk).

abc: 9.907 9.907 3.718
angles: 90.00 90.00 90.00
Space group P4/mbm (No. 127)
Symmetry-distinct sites (fractional):
La: 0.176 0.324 0.000
Zn: 0.121 0.621 0.000
In: 0.000 0.000 0.000
Rh: 0.000 0.500 0.500
Rh: 0.067 0.791 0.500

Summary:
VASP energy: -5.76 eV/atom
calculated formation energy: -550 kJ/mol of formula units
V: 364.9 Å³ per cell